Material: EuInTeBr
Method: DFT, PBE-GGA
State: relaxed

Computed properties:
The value obtained for the magnetic moment is 7.0 μB per cell. Its uncorrected formation energy is -24.40 kcal/mol of atoms. The symmetry is F-43m, No. 216.

Unit cell a=5.6146 b=5.6146 c=5.6146 alpha=60.00 beta=60.00 gamma=60.00
Last column: nearest neighbours and their distance in Å.
Fractional coordinates of all 4 atoms:
Eu (0.0000, 0.0000, 0.0000)  4 Te 3.44, 4 Br 3.44
In (0.5000, 0.5000, 0.5000)  4 Br 3.44, 4 Te 3.44
Te (0.7500, 0.7500, 0.7500)  4 In 3.44, 4 Eu 3.44
Br (0.2500, 0.2500, 0.2500)  4 In 3.44, 4 Eu 3.44